1.
First-principles (PBE) data for a relaxed Ba2PuAsO6 crystal, as listed in Alexandria.

Summary:
density: 7.30 Mg/m³
energy relative to the elements, uncorrected: -2.410 eV/atom
raw total energy: -7.6672 eV per atom
crystal system: tetragonal
DOS at the Fermi energy: 5.672 states/eV/cell

a b c (Å): 4.2839 4.2839 8.5425
angles (deg): 90.00 90.00 90.00
With the nearest neighbours (Å) after each atom.
Space group P4/mmm (No. 123)
One atom of each set of equivalent atoms:
Ba  0.0000  0.0000  0.2241  12 O 2.87-3.18
Pu  0.5000  0.5000  0.5000  6 O 2.14-2.15
As  0.5000  0.5000  0.0000  6 O 2.13-2.14
O  0.0000  0.5000  0.0000  2 As 2.14
O  0.0000  0.5000  0.5000  2 Pu 2.14
O  0.5000  0.5000  0.2488  1 As 2.13, 1 Pu 2.15

=====

2.
First-principles (PBE) data for a relaxed BaPuAs2O8 crystal, as listed in Alexandria.

Summary:
density: 5.27 Mg/m³
energy relative to the elements, uncorrected: -2.038 eV/atom
raw total energy: -7.4731 eV per atom
crystal system: trigonal
DOS at the Fermi energy: 1.428 states/eV/cell

a b c (Å): 5.4737 5.4737 8.0110
angles (deg): 90.00 90.00 120.00
With the nearest neighbours (Å) after each atom.
Space group P-3 (No. 147)
One atom of each set of equivalent atoms:
Ba  0.0000  0.0000  0.0000  12 O 3.06-3.17
Pu  0.0000  0.0000  0.5000  6 O 2.22
As  0.3333  0.6667  0.7531  4 O 1.69-1.73
O  0.0787  0.3389  0.6803  1 As 1.73
O  0.3333  0.6667  0.9636  1 As 1.69

=====

3.
First-principles (PBE) data for a relaxed RbBaAs2O crystal, as listed in Alexandria.

Summary:
density: 3.94 Mg/m³
energy relative to the elements, uncorrected: 0.394 eV/atom
raw total energy: -3.0351 eV per atom
crystal system: tetragonal
DOS at the Fermi energy: 4.780 states/eV/cell

a b c (Å): 5.8005 5.8005 4.8716
angles (deg): 90.00 90.00 90.00
With the nearest neighbours (Å) after each atom.
Space group P4/mmm (No. 123)
One atom of each set of equivalent atoms:
Rb  0.0000  0.0000  0.0000  2 O 2.44
Ba  0.5000  0.5000  0.5000  8 As 3.79, 4 O 4.10
As  0.0000  0.5000  0.0000  2 Rb 2.90
O  0.0000  0.0000  0.5000  2 Rb 2.44

=====

- Which of these has the lowest density?
  RbBaAs2O

=====

Please write out number 3 again, unchanged.
First-principles (PBE) data for a relaxed RbBaAs2O crystal, as listed in Alexandria.

Summary:
density: 3.94 Mg/m³
energy relative to the elements, uncorrected: 0.394 eV/atom
raw total energy: -3.0351 eV per atom
crystal system: tetragonal
DOS at the Fermi energy: 4.780 states/eV/cell

a b c (Å): 5.8005 5.8005 4.8716
angles (deg): 90.00 90.00 90.00
With the nearest neighbours (Å) after each atom.
Space group P4/mmm (No. 123)
One atom of each set of equivalent atoms:
Rb  0.0000  0.0000  0.0000  2 O 2.44
Ba  0.5000  0.5000  0.5000  8 As 3.79, 4 O 4.10
As  0.0000  0.5000  0.0000  2 Rb 2.90
O  0.0000  0.0000  0.5000  2 Rb 2.44

=====

- Which of these has the highest density?
  Ba2PuAsO6